This record from Alexandria via LeMat-Bulk describes Ac4AsP2Se after structural relaxation. The functional is PBE-GGA.

a b c (Å): 7.7408 4.4717 7.7716
angles (deg): 90.00 109.34 90.00
Last column: nearest neighbours and their distance in Å.
Space group P2/m (No. 10)
Asymmetric unit:
Ac (0.2420, 0.0000, 0.2378) (multiplicity 2)  3 P 3.10-3.14, 1 As 3.19, 2 Se 3.23
Ac (0.2496, 0.5000, 0.7587) (multiplicity 2)  3 P 3.11-3.14, 2 As 3.19, 1 Se 3.22
As (0.0000, 0.0000, 0.5000) (multiplicity 1)  6 Ac 3.19
P (0.0000, 0.5000, 0.0000) (multiplicity 1)  6 Ac 3.10-3.11
P (0.5000, 0.0000, 0.0000) (multiplicity 1)  6 Ac 3.14
Se (0.5000, 0.5000, 0.5000) (multiplicity 1)  6 Ac 3.22-3.23

Summary:
E_tot (eV/atom): -6.059
Crystal system: monoclinic
DOS(E_F) (states/eV per cell): 2.04